14
Lattice="-3.0580 3.0927 4.3036 3.0580 -3.0927 4.3036 3.0580 3.0927 -4.3036" Properties=species:S:1:pos:R:3 comment="CaCrCoO4 PBE+U optimized geometry" dft_energy_ev_per_atom=-6.797 magnetic_moment_mub_per_cell=5.94 sg="Imma, No. 74" pbc="T T T"
Ca 0.0000 1.5464 1.0641
Ca 3.0580 1.5464 3.2396
Cr 3.0580 0.0000 0.0000
Cr 0.0000 0.0000 4.3036
Co 1.5290 1.5464 -2.1518
Co 1.5290 -1.5464 2.1518
O 3.0580 -0.2835 2.0287
O 3.0580 2.8092 -2.0287
O 1.7506 1.5464 -0.1942
O 4.3655 1.5464 -0.1942
O -1.3074 1.5464 4.4978
O 1.3074 1.5464 4.4978
O 0.0000 0.2835 6.3323
O 0.0000 3.3763 2.2749